[1]
Computed, not measured: a relaxed structure of Na6Tl3Pt at the GGA-PBE level of DFT.

POSCAR file:
```
Na6Tl3Pt
1.0
6.270 0.000 0.000
0.000 9.128 -0.348
0.000 -0.393 10.144
Na Tl Pt
12 6 2
direct
0.935 0.319 0.058
0.898 0.335 0.432
0.744 0.139 0.777
0.256 0.861 0.223
0.102 0.665 0.568
0.065 0.681 0.942
0.565 0.819 0.558
0.602 0.835 0.932
0.756 0.639 0.277
0.244 0.361 0.723
0.398 0.165 0.068
0.435 0.181 0.442
0.273 0.492 0.271
0.500 0.500 0.000
0.727 0.508 0.729
0.227 0.992 0.771
0.000 0.000 0.500
0.773 0.008 0.229
0.500 0.500 0.500
0.000 0.000 0.000
```

Summary:
Mass density ... 5.421 g/cm3
Magnetization ... 0.000 μB/f.u.
Formation energy ... -10.48 kJ/mol of atoms

=====

[2]
Computed, not measured: a relaxed structure of CaRuBr3 at the GGA-PBE level of DFT.

POSCAR file:
```
CaRuBr3
1.0
5.083 0.000 0.000
0.000 5.083 0.000
0.000 0.000 5.083
Ca Ru Br
1 1 3
direct
0.500 0.500 0.500
0.000 0.000 0.000
0.000 0.500 0.000
0.000 0.000 0.500
0.500 0.000 0.000
```

Summary:
Excess energy over the best structure of this formula in the dataset ... 0.0 meV per atom
Mass density ... 4.816 g/cm3
Magnetization ... 0.000 μB/f.u.
Energy relative to the elements, uncorrected ... -465 meV per atom

=====

[3]
Computed, not measured: a relaxed structure of Sc2In at the GGA-PBE level of DFT.

POSCAR file:
```
Sc2In
1.0
4.926 0.000 0.000
0.000 4.926 0.000
0.000 0.000 3.377
In Sc
1 2
direct
0.000 0.000 0.000
0.000 0.500 0.500
0.500 0.000 0.500
```

Summary:
Mass density ... 4.149 g/cm3
Magnetization ... 0.881 μB/f.u.
Formation energy ... 3.64 kJ/mol of atoms

=====

[4]
Computed, not measured: a relaxed structure of La2MoPt at the GGA-PBE level of DFT.

POSCAR file:
```
La2MoPt
1.0
8.553 -0.001 -0.001
7.705 3.713 -0.001
7.705 1.759 3.270
La Mo Pt
2 1 1
direct
0.003 0.003 0.003
0.497 0.497 0.497
0.250 0.250 0.250
0.750 0.750 0.750
```

Summary:
Excess energy over the best structure of this formula in the dataset ... 271.1 meV per atom
Mass density ... 9.088 g/cm3
Magnetization ... 0.640 μB/f.u.
Formation energy ... 5.12 kJ/mol of atoms

=====

[5]
Computed, not measured: a relaxed structure of CeRh at the GGA-PBE level of DFT.

POSCAR file:
```
CeRh
1.0
-0.187 -2.709 2.948
-2.038 -2.343 -2.283
5.803 -1.186 -0.722
Rh Ce
2 2
direct
0.250 0.902 0.805
0.750 0.098 0.195
0.250 0.637 0.274
0.750 0.363 0.726
```

Summary:
Mass density ... 9.245 g/cm3
Magnetization ... 0.086 μB/f.u.
Formation energy ... -76.02 kJ/mol of atoms

=====

[6]
Computed, not measured: a relaxed structure of SrLi2AlPt at the GGA-PBE level of DFT.

POSCAR file:
```
SrLi2AlPt
1.0
-2.943 -2.206 -3.272
3.370 -3.528 -0.653
-1.993 -2.555 3.514
Sr Al Pt Li
1 1 1 2
direct
0.500 0.500 0.500
0.000 0.000 0.500
0.000 0.000 0.000
0.000 0.500 0.000
0.500 0.000 0.000
```

Summary:
Mass density ... 4.638 g/cm3
Magnetization ... 0.000 μB/f.u.
Formation energy ... -40.61 kJ/mol of atoms

=====

[7]
Computed, not measured: a relaxed structure of Y3MgAl at the GGA-PBE level of DFT.

POSCAR file:
```
Y3MgAl
1.0
-3.759 -0.124 -2.818
0.061 -6.759 0.216
-5.698 0.191 7.591
Y Mg Al
6 2 2
direct
0.750 0.750 0.068
0.250 0.250 0.932
0.750 0.990 0.736
0.750 0.510 0.736
0.250 0.010 0.264
0.250 0.490 0.264
0.750 0.750 0.427
0.250 0.250 0.573
0.750 0.250 0.126
0.250 0.750 0.874
```

Summary:
Excess energy over the best structure of this formula in the dataset ... 235.9 meV per atom
Mass density ... 3.500 g/cm3
Magnetization ... 0.000 μB/f.u.
Formation energy ... 1.22 kJ/mol of atoms

=====

[8]
Computed, not measured: a relaxed structure of Rb2ZrI7 at the GGA-PBE level of DFT.

POSCAR file:
```
Rb2ZrI7
1.0
-1.243 4.229 7.684
3.080 -6.868 9.384
8.169 6.367 2.923
Rb Zr I
4 2 14
direct
0.577 0.960 0.699
0.763 0.460 0.199
0.237 0.540 0.801
0.423 0.040 0.301
0.976 0.250 0.750
0.024 0.750 0.250
0.806 0.502 0.836
0.855 0.002 0.336
0.253 0.801 0.975
0.324 0.279 0.568
0.639 0.250 0.750
0.971 0.301 0.475
0.170 0.221 0.932
0.830 0.779 0.068
0.029 0.699 0.525
0.361 0.750 0.250
0.676 0.721 0.432
0.747 0.199 0.025
0.145 0.998 0.664
0.194 0.498 0.164
```

Summary:
Excess energy over the best structure of this formula in the dataset ... 0.0 meV per atom
Mass density ... 3.951 g/cm3
Magnetization ... 0.000 μB/f.u.
Energy relative to the elements, uncorrected ... -986 meV per atom

=====

[9]
Computed, not measured: a relaxed structure of Er2Tm2Ga at the GGA-PBE level of DFT.

POSCAR file:
```
Er2Tm2Ga
1.0
-2.450 -2.178 -2.568
3.226 -0.609 -2.561
1.609 -5.851 6.804
Er Tm Ga
2 2 1
direct
0.750 0.250 0.500
0.250 0.750 0.500
0.412 0.412 0.823
0.588 0.588 0.177
0.000 0.000 0.000
```

Summary:
Mass density ... 8.236 g/cm3
Magnetization ... 0.001 μB/f.u.
Formation energy ... 33.58 kJ/mol of atoms

=====

[10]
Computed, not measured: a relaxed structure of Cs2Cd4Bi3Sb at the GGA-PBE level of DFT.

POSCAR file:
```
Cs2Cd4Bi3Sb
1.0
5.342 0.000 0.000
0.000 5.342 0.000
0.000 0.000 12.188
Cs Cd Bi Sb
2 4 3 1
direct
0.500 0.000 0.249
0.000 0.500 0.751
0.500 0.500 0.000
0.000 0.000 0.000
0.500 0.000 0.625
0.000 0.500 0.375
0.000 0.000 0.500
0.500 0.000 0.872
0.000 0.500 0.128
0.500 0.500 0.500
```

Summary:
Mass density ... 6.991 g/cm3
Magnetization ... 0.000 μB/f.u.
Energy relative to the elements, uncorrected ... -234 meV per atom

=====

[11]
Computed, not measured: a relaxed structure of PmTmGa at the GGA-PBE level of DFT.

POSCAR file:
```
PmTmGa
1.0
-0.197 3.349 -2.885
-3.311 -4.820 -5.368
-4.585 4.072 5.040
Pm Tm Ga
3 3 3
direct
0.500 0.399 0.399
0.500 0.000 0.601
0.500 0.601 0.000
0.000 0.735 0.735
0.000 0.000 0.265
0.000 0.265 0.000
0.000 0.333 0.667
0.000 0.667 0.333
0.500 0.000 0.000
```

Summary:
Excess energy over the best structure of this formula in the dataset ... 0.0 meV per atom
Mass density ... 7.916 g/cm3
Magnetization ... 0.497 μB/f.u.
Formation energy ... -39.43 kJ/mol of atoms

=====

[12]
Computed, not measured: a relaxed structure of Ca2AgBiS4 at the GGA-PBE level of DFT.

POSCAR file:
```
Ca2AgBiS4
1.0
-0.651 -0.489 5.623
3.490 -4.484 0.029
3.086 5.998 -2.000
Ca Ag Bi S
2 1 1 4
direct
0.182 0.682 0.500
0.682 0.182 0.500
0.466 0.466 0.000
0.946 0.946 0.000
0.937 0.419 0.000
0.419 0.937 0.000
0.178 0.178 0.490
0.688 0.688 0.510
```

Summary:
Mass density ... 4.681 g/cm3
Magnetization ... 0.000 μB/f.u.
Energy relative to the elements, uncorrected ... -1185 meV per atom